(1)
Cs2CuIO: relaxed, PBE.

Cell and atoms, written as CIF:
```
data_Cs2CuIO
_cell_length_a 6.573
_cell_length_b 6.573
_cell_length_c 3.777
_cell_angle_alpha 90.00
_cell_angle_beta 90.00
_cell_angle_gamma 90.00
_symmetry_space_group_name_H-M 'P 4/m m m'
_symmetry_Int_Tables_number 123
_symmetry_space_group_name_Hall '-P 4 2'
loop_
_atom_site_label
_atom_site_fract_x
_atom_site_fract_y
_atom_site_fract_z
Cs1 0.000 0.500 0.000
Cu1 0.000 0.000 0.500
I1 0.500 0.500 0.500
O1 0.000 0.000 0.000
```

* VASP energy: -0.2558 Ry per atom
* total magnetization: 0.00 μB per formula unit
* energy above the most stable polymorph in this dataset: 0.000 eV/atom
* uncorrected formation energy: -1017 meV/atom

***

(2)
Cs2CuPI: relaxed, PBE.

Cell and atoms, written as CIF:
```
data_Cs2CuPI
_cell_length_a 7.066
_cell_length_b 7.066
_cell_length_c 4.267
_cell_angle_alpha 90.00
_cell_angle_beta 90.00
_cell_angle_gamma 90.00
_symmetry_space_group_name_H-M 'P 4/m m m'
_symmetry_Int_Tables_number 123
_symmetry_space_group_name_Hall '-P 4 2'
loop_
_atom_site_label
_atom_site_fract_x
_atom_site_fract_y
_atom_site_fract_z
Cs1 0.000 0.500 0.000
Cu1 0.000 0.000 0.500
P1 0.000 0.000 0.000
I1 0.500 0.500 0.500
```

* VASP energy: -0.2315 Ry per atom
* total magnetization: 0.00 μB per formula unit
* uncorrected formation energy: -596 meV/atom

***

(3)
CsPaCuI6: relaxed, PBE.

Cell and atoms, written as CIF:
```
data_CsPaCuI6
_cell_length_a 7.6527
_cell_length_b 7.6527
_cell_length_c 17.8521
_cell_angle_alpha 90.00
_cell_angle_beta 90.00
_cell_angle_gamma 120.00
_symmetry_space_group_name_H-M 'P -3 1 c'
_symmetry_Int_Tables_number 163
_symmetry_space_group_name_Hall '-P 3 2c'
loop_
_atom_site_label
_atom_site_fract_x
_atom_site_fract_y
_atom_site_fract_z
Cs1 0.0000 0.0000 0.0000
Pa1 0.3333 0.6667 0.2500
Cu1 0.3333 0.6667 0.7500
I1 0.0127 0.3692 0.6540
```

* VASP energy: -0.2562 Ry per atom
* total magnetization: 1.00 μB per formula unit
* uncorrected formation energy: -848 meV/atom

***

Q: Which of these has the lowest VASP energy?
A: CsPaCuI6

***

Q: Among the records above, which one has the lowest VASP energy?
A: CsPaCuI6

***

Q: total magnetization of number 3 (CsPaCuI6)?
A: 1.00 μB per formula unit